No. 1
Ac6InPd2I3 | PBE | optimized geometry

abc: 4.470 10.202 10.945
angles: 107.69 101.78 90.00
Fractional positions:
Ac 0.338 0.869 0.676
Ac 0.680 0.553 0.360
Ac 0.662 0.131 0.324
Ac 0.019 0.248 0.038
Ac 0.981 0.752 0.962
Ac 0.320 0.447 0.640
In 0.500 0.000 0.000
Pd 0.829 0.657 0.659
Pd 0.171 0.343 0.341
I 0.500 0.500 0.000
I 0.840 0.164 0.681
I 0.160 0.836 0.319

Values from the calculation:
calculated total energy: -4.38 eV per atom
theoretical density: 7.401 g/cm3
space-group type: C2/m (12)
raw formation energy: -978 kJ/mol of formula units

=====

No. 2
AcH8Pd6 | PBE | optimized geometry

abc: 5.480 5.480 5.480
angles: 97.16 97.16 97.16
Fractional positions:
Ac 0.000 0.000 0.000
H 0.675 0.675 0.675
H 0.325 0.325 0.325
H 0.626 0.829 0.250
H 0.829 0.250 0.626
H 0.250 0.626 0.829
H 0.374 0.171 0.750
H 0.171 0.750 0.374
H 0.750 0.374 0.171
Pd 0.665 0.407 0.852
Pd 0.407 0.852 0.665
Pd 0.852 0.665 0.407
Pd 0.335 0.593 0.148
Pd 0.593 0.148 0.335
Pd 0.148 0.335 0.593

Values from the calculation:
calculated total energy: -4.37 eV per atom
theoretical density: 9.044 g/cm3
space-group type: R-3 (148)

=====

No. 3
Sc5Cd3O12 | PBE | optimized geometry

abc: 11.208 11.208 11.208
angles: 109.47 109.47 109.47
Last column: magnetic moment on the atom in μB.
Fractional positions:
Cd 0.750 0.375 0.125  0.01
Cd 0.875 0.750 0.125  0.01
Cd 0.375 0.750 0.625  0.01
Cd 0.250 0.125 0.375  0.01
Cd 0.875 0.125 0.250  0.01
Cd 0.375 0.625 0.250  0.01
Cd 0.625 0.375 0.750  0.01
Cd 0.125 0.875 0.750  0.01
Cd 0.750 0.875 0.625  0.01
Cd 0.625 0.250 0.375  0.01
Cd 0.125 0.250 0.875  0.01
Cd 0.250 0.625 0.875  0.01
Sc 0.125 0.375 0.250  -0.02
Sc 0.000 0.500 0.000  -0.03
Sc 0.000 0.000 0.000  -0.03
Sc 0.375 0.250 0.125  -0.02
Sc 0.500 0.000 0.500  -0.03
Sc 0.500 0.500 0.000  -0.03
Sc 0.125 0.750 0.375  -0.02
Sc 0.750 0.125 0.875  -0.02
Sc 0.750 0.625 0.375  -0.02
Sc 0.375 0.125 0.750  -0.02
Sc 0.625 0.875 0.250  -0.02
Sc 0.500 0.500 0.500  -0.03
Sc 0.500 0.000 0.000  -0.03
Sc 0.000 0.000 0.500  -0.03
Sc 0.250 0.375 0.625  -0.02
Sc 0.250 0.875 0.125  -0.02
Sc 0.000 0.500 0.500  -0.03
Sc 0.875 0.250 0.625  -0.02
Sc 0.625 0.750 0.875  -0.02
Sc 0.875 0.625 0.750  -0.02
O 0.711 0.117 0.033  0.22
O 0.321 0.533 0.416  0.22
O 0.967 0.383 0.289  0.22
O 0.533 0.211 0.117  0.22
O 0.595 0.711 0.679  0.22
O 0.967 0.584 0.179  0.22
O 0.321 0.789 0.405  0.22
O 0.084 0.905 0.117  0.22
O 0.584 0.967 0.679  0.22
O 0.711 0.595 0.179  0.22
O 0.789 0.467 0.383  0.22
O 0.821 0.916 0.033  0.22
O 0.117 0.711 0.533  0.22
O 0.383 0.416 0.095  0.22
O 0.095 0.916 0.383  0.22
O 0.405 0.117 0.584  0.22
O 0.095 0.179 0.211  0.22
O 0.467 0.679 0.084  0.22
O 0.821 0.905 0.289  0.22
O 0.117 0.405 0.084  0.22
O 0.383 0.967 0.789  0.22
O 0.584 0.617 0.405  0.22
O 0.916 0.821 0.533  0.22
O 0.789 0.321 0.905  0.22
O 0.416 0.383 0.595  0.22
O 0.084 0.179 0.467  0.22
O 0.211 0.679 0.095  0.22
O 0.179 0.095 0.711  0.22
O 0.617 0.033 0.211  0.22
O 0.883 0.595 0.916  0.22
O 0.533 0.321 0.916  0.22
O 0.595 0.883 0.416  0.22
O 0.905 0.821 0.789  0.22
O 0.905 0.084 0.617  0.22
O 0.883 0.289 0.467  0.22
O 0.179 0.084 0.967  0.22
O 0.617 0.584 0.905  0.22
O 0.416 0.033 0.321  0.22
O 0.289 0.405 0.821  0.22
O 0.211 0.533 0.617  0.22
O 0.916 0.095 0.883  0.22
O 0.679 0.211 0.595  0.22
O 0.467 0.789 0.883  0.22
O 0.033 0.416 0.821  0.22
O 0.405 0.289 0.321  0.22
O 0.033 0.617 0.711  0.22
O 0.679 0.467 0.584  0.22
O 0.289 0.883 0.967  0.22

Values from the calculation:
calculated total energy: -6.91 eV per atom
theoretical density: 4.621 g/cm3
space-group type: Ia-3d (230)
raw formation energy: -4273 kJ/mol of formula units

=====

No. 4
CdNi2As | PBE | optimized geometry

abc: 7.957 7.957 7.957
angles: 21.59 21.59 21.59
Fractional positions:
As 0.250 0.250 0.250
Cd 0.750 0.750 0.750
Ni 0.989 0.989 0.989
Ni 0.511 0.511 0.511

Values from the calculation:
calculated total energy: -4.27 eV per atom
energy relative to the elements: 15 meV per atom
theoretical density: 8.468 g/cm3
space-group type: R-3m (166)
offset from the most stable computed form: 6.8 kJ per mole of atoms

=====

No. 5
TaMnVTc | PBE | optimized geometry

abc: 4.313 4.313 4.313
angles: 60.00 60.00 60.00
Fractional positions:
V 0.500 0.500 0.500
Mn 0.750 0.750 0.750
Tc 0.250 0.250 0.250
Ta 0.000 0.000 0.000

Values from the calculation:
calculated total energy: -10.41 eV per atom
energy relative to the elements: -279 meV per atom
theoretical density: 11.266 g/cm3
space-group type: F-43m (216)

=====

No. 6
NaCaTmSn | PBE | optimized geometry

abc: 5.393 5.393 5.393
angles: 60.00 60.00 60.00
Fractional positions:
Na 0.750 0.750 0.750
Ca 0.500 0.500 0.500
Tm 0.000 0.000 0.000
Sn 0.250 0.250 0.250

Values from the calculation:
calculated total energy: -3.21 eV per atom
energy relative to the elements: -263 meV per atom
theoretical density: 5.249 g/cm3
space-group type: F-43m (216)

=====

No. 7
Th8Te4P3Au | PBE | optimized geometry

abc: 8.505 8.865 8.505
angles: 118.67 120.00 90.00
Fractional positions:
Th 0.243 0.714 0.971
Th 0.243 0.714 0.486
Th 0.264 0.293 0.529
Th 0.728 0.714 0.971
Th 0.272 0.286 0.029
Th 0.736 0.707 0.471
Th 0.757 0.286 0.514
Th 0.757 0.286 0.029
Te 0.500 0.000 0.000
Te 0.500 0.000 0.500
Te 0.000 0.000 0.000
Te 0.000 0.000 0.500
P 0.500 0.500 0.000
P 0.500 0.500 0.500
P 0.000 0.500 0.500
Au 0.000 0.500 0.000

Values from the calculation:
calculated total energy: -6.94 eV per atom
theoretical density: 9.542 g/cm3
space-group type: R-3m (166)
raw formation energy: -1888 kJ/mol of formula units

=====

No. 8
GaFe3H | PBE | optimized geometry

abc: 2.949 8.385 4.209
angles: 81.81 90.00 89.99
Last column: magnetic moment on the atom in μB.
Fractional positions:
H 0.829 0.041 0.753  -0.03
H 0.332 0.721 0.071  -0.02
Fe 0.329 0.602 0.790  2.17
Fe 0.829 0.611 0.316  2.35
Fe 0.329 0.109 0.882  2.21
Fe 0.829 0.841 0.873  2.15
Fe 0.329 0.374 0.314  2.40
Fe 0.829 0.135 0.359  2.38
Ga 0.329 0.883 0.383  -0.10
Ga 0.829 0.358 0.817  -0.12

Values from the calculation:
calculated total energy: -6.36 eV per atom
theoretical density: 7.682 g/cm3
space-group type: P1 (1)

=====

No. 9
SmMgWS4 | PBE | optimized geometry

abc: 7.636 7.636 7.636
angles: 119.57 118.52 91.66
Last column: magnetic moment on the atom in μB.
Fractional positions:
Sm 0.000 0.500 0.500  0.05
Sm 0.500 0.500 0.000  0.05
Mg 0.125 0.875 0.250  0.01
Mg 0.875 0.125 0.750  0.01
W 0.500 0.000 0.000  1.81
W 0.500 0.500 0.500  1.81
S 0.725 0.761 0.964  0.01
S 0.735 0.735 0.501  0.02
S 0.735 0.234 0.999  0.02
S 0.702 0.239 0.464  0.01
S 0.265 0.766 0.001  0.02
S 0.298 0.761 0.536  0.01
S 0.275 0.239 0.036  0.01
S 0.265 0.265 0.499  0.02

Values from the calculation:
calculated total energy: -6.18 eV per atom
theoretical density: 5.065 g/cm3
space-group type: Imma (74)
raw formation energy: -723 kJ/mol of formula units

=====

No. 10
Pm6GaAg5 | PBE | optimized geometry

abc: 5.257 7.465 9.107
angles: 114.20 106.78 90.00
Fractional positions:
Ag 0.667 0.167 0.335
Ag 0.333 0.333 0.667
Ag 0.000 0.500 0.000
Ag 0.667 0.667 0.333
Ag 0.333 0.833 0.665
Ga 0.000 0.000 0.000
Pm 0.835 0.587 0.670
Pm 0.835 0.083 0.670
Pm 0.500 0.753 0.000
Pm 0.500 0.247 0.000
Pm 0.165 0.917 0.330
Pm 0.165 0.413 0.330

Values from the calculation:
calculated total energy: -4.13 eV per atom
energy relative to the elements: -318 meV per atom
theoretical density: 7.942 g/cm3
space-group type: Immm (71)

=====

No. 11
InSbP | PBE | optimized geometry

abc: 4.298 5.303 7.930
angles: 77.21 78.08 81.99
Fractional positions:
In 0.799 0.303 0.081
In 0.171 0.706 0.388
Sb 0.471 0.266 0.620
Sb 0.981 0.954 0.840
P 0.250 0.590 0.077
P 0.632 0.993 0.383

Values from the calculation:
calculated total energy: -4.09 eV per atom
theoretical density: 5.177 g/cm3
space-group type: P1 (1)
offset from the most stable computed form: 0.0 kJ per mole of atoms
raw formation energy: 0 kJ/mol of formula units

=====

No. 12
AlAg2Se | PBE | optimized geometry

abc: 4.650 4.650 5.155
angles: 78.77 78.77 45.39
Fractional positions:
Se 0.250 0.250 0.250
Ag 0.005 0.005 0.970
Ag 0.495 0.495 0.530
Al 0.750 0.750 0.750

Values from the calculation:
calculated total energy: -3.21 eV per atom
theoretical density: 6.887 g/cm3
space-group type: C2/m (12)
offset from the most stable computed form: 8.2 kJ per mole of atoms
raw formation energy: 8 kJ/mol of formula units

=====

No. 13
Rb2ThMnSe4 | PBE | optimized geometry

abc: 4.292 7.215 8.394
angles: 107.70 90.00 90.00
Last column: magnetic moment on the atom in μB.
Fractional positions:
Rb 0.500 0.000 0.500  0.00
Rb 0.000 0.500 0.500  0.01
Th 0.500 0.500 0.000  0.05
Mn 0.000 0.000 0.000  4.35
Se 0.500 0.218 0.184  0.04
Se 0.500 0.782 0.816  0.04
Se 0.000 0.262 0.800  0.03
Se 0.000 0.738 0.200  0.03

Values from the calculation:
calculated total energy: -5.29 eV per atom
theoretical density: 5.189 g/cm3
space-group type: P2/m (10)
raw formation energy: -949 kJ/mol of formula units

=====

No. 14
Ni2BRh | PBE | optimized geometry

abc: 2.850 4.432 6.950
angles: 90.00 90.00 108.76
Fractional positions:
Ni 0.359 0.717 0.568
Ni 0.641 0.283 0.432
Ni 0.359 0.717 0.932
Ni 0.641 0.283 0.068
B 0.771 0.541 0.750
B 0.229 0.459 0.250
Rh 0.923 0.847 0.250
Rh 0.077 0.153 0.750

Values from the calculation:
calculated total energy: -6.63 eV per atom
energy relative to the elements: -230 meV per atom
theoretical density: 9.234 g/cm3
space-group type: Cmcm (63)

=====

No. 15
Pm3InGe4 | PBE | optimized geometry

abc: 4.354 6.190 8.591
angles: 111.12 104.68 90.00
Fractional positions:
Pm 0.186 0.186 0.372
Pm 0.814 0.814 0.628
Pm 0.000 0.500 0.000
In 0.500 0.000 0.000
Ge 0.369 0.566 0.738
Ge 0.631 0.434 0.262
Ge 0.631 0.828 0.262
Ge 0.369 0.172 0.738

Values from the calculation:
calculated total energy: -5.01 eV per atom
energy relative to the elements: -578 meV per atom
theoretical density: 6.713 g/cm3
space-group type: Immm (71)

=====

No. 16
YScSe3 | PBE | optimized geometry

abc: 3.955 6.820 8.802
angles: 90.00 90.00 90.00
Fractional positions:
Y 0.250 0.250 0.348
Y 0.750 0.750 0.652
Sc 0.750 0.250 0.897
Sc 0.250 0.750 0.103
Se 0.750 0.480 0.160
Se 0.250 0.520 0.840
Se 0.750 0.020 0.160
Se 0.250 0.980 0.840
Se 0.750 0.250 0.572
Se 0.250 0.750 0.428

Values from the calculation:
calculated total energy: -6.35 eV per atom
theoretical density: 5.187 g/cm3
space-group type: Pmmn (59)
raw formation energy: -819 kJ/mol of formula units

=====

No. 17
AuCl3 | PBE | optimized geometry

abc: 11.913 6.989 6.897
angles: 63.22 90.00 90.00
Fractional positions:
Au 0.914 0.781 0.042
Au 0.414 0.719 0.958
Au 0.086 0.219 0.958
Au 0.586 0.281 0.042
Cl 0.991 0.939 0.254
Cl 0.491 0.561 0.746
Cl 0.009 0.061 0.746
Cl 0.509 0.439 0.254
Cl 0.826 0.520 0.336
Cl 0.326 0.980 0.664
Cl 0.174 0.480 0.664
Cl 0.674 0.020 0.336
Cl 0.846 0.642 0.822
Cl 0.346 0.858 0.178
Cl 0.154 0.358 0.178
Cl 0.654 0.142 0.822

Values from the calculation:
calculated total energy: -2.46 eV per atom
theoretical density: 3.930 g/cm3
space-group type: P2_1/c (14)
raw formation energy: -98 kJ/mol of formula units

=====

No. 18
CuRu2Br | PBE | optimized geometry

abc: 5.379 5.379 5.379
angles: 148.49 130.65 59.74
Fractional positions:
Br 0.250 0.750 0.500
Cu 0.750 0.250 0.500
Ru 0.024 0.024 0.000
Ru 0.476 0.476 0.000

Values from the calculation:
calculated total energy: -5.22 eV per atom
theoretical density: 9.376 g/cm3
space-group type: Immm (71)
offset from the most stable computed form: 39.8 kJ per mole of atoms
raw formation energy: 331 kJ/mol of formula units

=====

No. 19
MgZr2Ir | PBE | optimized geometry

abc: 3.419 3.433 7.556
angles: 63.10 90.00 90.00
Fractional positions:
Ir 0.500 0.250 0.250
Mg 0.500 0.750 0.750
Zr 0.000 0.981 0.021
Zr 0.000 0.519 0.479

Values from the calculation:
calculated total energy: -7.25 eV per atom
energy relative to the elements: -365 meV per atom
theoretical density: 8.376 g/cm3
space-group type: P2/m (10)

=====

No. 20
ScSb2IO | PBE | optimized geometry

abc: 4.482 4.482 6.023
angles: 90.00 90.00 90.00
Fractional positions:
I 0.000 0.000 0.500
Sb 0.000 0.500 0.000
Sb 0.500 0.000 0.000
Sc 0.500 0.500 0.500
O 0.000 0.000 0.000

Values from the calculation:
calculated total energy: -4.49 eV per atom
theoretical density: 5.921 g/cm3
space-group type: P4/mmm (123)
offset from the most stable computed form: 0.0 kJ per mole of atoms
raw formation energy: -130 kJ/mol of formula units